[1]
First-principles (GGA-PBE) data for crystalline AcPm2Pr5Tm at its relaxed geometry, as listed in the Alexandria database.

Cell lengths 10.212, 10.212, 10.212 Å; angles 126.94, 126.94, 78.35 degrees
Sites, in units of the cell vectors:
Ac  0.250  0.250  0.000
Ac  0.750  0.750  0.000
Pm  0.115  0.615  0.731
Pm  0.385  0.115  0.500
Pm  0.615  0.885  0.500
Pm  0.885  0.385  0.269
Pr  0.000  0.000  0.000
Pr  0.071  0.162  0.500
Pr  0.162  0.662  0.091
Pr  0.338  0.429  0.500
Pr  0.429  0.929  0.091
Pr  0.500  0.500  0.000
Pr  0.571  0.071  0.909
Pr  0.662  0.571  0.500
Pr  0.838  0.338  0.909
Pr  0.929  0.838  0.500
Tm  0.250  0.750  0.500
Tm  0.750  0.250  0.500

Results
* N(E_F): 13.3 states/eV/f.u.
* formation enthalpy at 0 K: 0.26 eV per atom
* space group: I4/mcm (140)
* crystal system: tetragonal
* uncorrected energy: -79.24 eV for the cell shown
* total magnetization: 0.00 μB per atom

=====

[2]
First-principles (GGA-PBE) data for crystalline AcPm3PrTm at its relaxed geometry, as listed in the Alexandria database.

Cell lengths 8.265, 5.226, 10.435 Å; angles 90.00, 108.71, 90.00 degrees
Sites, in units of the cell vectors:
Ac  0.169  0.250  0.294
Ac  0.831  0.750  0.706
Pm  0.170  0.750  0.041
Pm  0.171  0.250  0.791
Pm  0.173  0.750  0.546
Pm  0.827  0.250  0.454
Pm  0.829  0.750  0.209
Pm  0.830  0.250  0.959
Pr  0.496  0.750  0.874
Pr  0.504  0.250  0.126
Tm  0.498  0.250  0.625
Tm  0.502  0.750  0.375

Results
* N(E_F): 10.0 states/eV/f.u.
* formation enthalpy at 0 K: 0.04 eV per atom
* space group: P2_1/m (11)
* crystal system: monoclinic
* uncorrected energy: -54.76 eV for the cell shown
* total magnetization: 0.00 μB per atom

=====

[3]
First-principles (GGA-PBE) data for crystalline AcPmPr6Tm2 at its relaxed geometry, as listed in the Alexandria database.

Cell lengths 9.074, 9.074, 9.869 Å; angles 93.35, 93.35, 116.73 degrees
Sites, in units of the cell vectors:
Ac  0.033  0.967  0.750
Ac  0.967  0.033  0.250
Pm  0.410  0.590  0.250
Pm  0.590  0.410  0.750
Pr  0.008  0.551  0.680
Pr  0.111  0.755  0.054
Pr  0.245  0.889  0.446
Pr  0.295  0.515  0.881
Pr  0.449  0.992  0.820
Pr  0.485  0.705  0.619
Pr  0.515  0.295  0.381
Pr  0.551  0.008  0.180
Pr  0.705  0.485  0.119
Pr  0.755  0.111  0.554
Pr  0.889  0.245  0.946
Pr  0.992  0.449  0.320
Tm  0.203  0.306  0.549
Tm  0.306  0.203  0.049
Tm  0.694  0.797  0.951
Tm  0.797  0.694  0.451

Results
* N(E_F): 14.1 states/eV/f.u.
* formation enthalpy at 0 K: 0.11 eV per atom
* space group: C2/c (15)
* crystal system: monoclinic
* uncorrected energy: -90.66 eV for the cell shown
* total magnetization: 0.00 μB per atom

=====

[4]
First-principles (GGA-PBE) data for crystalline AcPmPrTm at its relaxed geometry, as listed in the Alexandria database.

Cell lengths 5.903, 5.903, 5.903 Å; angles 60.00, 60.00, 60.00 degrees
Sites, in units of the cell vectors:
Ac  0.000  0.000  0.000
Pm  0.250  0.250  0.250
Pr  0.500  0.500  0.500
Tm  0.750  0.750  0.750

Results
* N(E_F): 7.9 states/eV/f.u.
* formation enthalpy at 0 K: 0.12 eV per atom
* space group: F-43m (216)
* crystal system: cubic
* energy relative to the lowest polymorph listed for this composition: 0.058 eV/atom
* uncorrected energy: -17.63 eV for the cell shown
* total magnetization: 0.00 μB per atom

=====

[5]
First-principles (GGA-PBE) data for crystalline AcPm6PrTm2 at its relaxed geometry, as listed in the Alexandria database.

Cell lengths 9.004, 9.004, 9.771 Å; angles 93.09, 93.09, 116.76 degrees
Sites, in units of the cell vectors:
Ac  0.034  0.966  0.750
Ac  0.966  0.034  0.250
Pm  0.012  0.551  0.678
Pm  0.112  0.754  0.056
Pm  0.246  0.888  0.444
Pm  0.293  0.516  0.881
Pm  0.449  0.988  0.822
Pm  0.484  0.707  0.619
Pm  0.516  0.293  0.381
Pm  0.551  0.012  0.178
Pm  0.707  0.484  0.119
Pm  0.754  0.112  0.556
Pm  0.888  0.246  0.944
Pm  0.988  0.449  0.322
Pr  0.409  0.591  0.250
Pr  0.591  0.409  0.750
Tm  0.202  0.307  0.549
Tm  0.307  0.202  0.049
Tm  0.693  0.798  0.951
Tm  0.798  0.693  0.451

Results
* N(E_F): 13.9 states/eV/f.u.
* formation enthalpy at 0 K: 0.12 eV per atom
* space group: C2/c (15)
* crystal system: monoclinic
* uncorrected energy: -90.28 eV for the cell shown
* total magnetization: 0.00 μB per atom

=====

[6]
First-principles (GGA-PBE) data for crystalline AcPmPrTm at its relaxed geometry, as listed in the Alexandria database.

Cell lengths 3.743, 3.743, 11.960 Å; angles 90.00, 90.00, 120.00 degrees
Sites, in units of the cell vectors:
Ac  0.000  0.000  0.000
Pm  0.333  0.667  0.261
Pr  0.667  0.333  0.509
Tm  0.333  0.667  0.748

Results
* N(E_F): 4.9 states/eV/f.u.
* formation enthalpy at 0 K: 0.06 eV per atom
* space group: P3m1 (156)
* crystal system: trigonal
* energy relative to the lowest polymorph listed for this composition: 0.000 eV/atom
* uncorrected energy: -17.86 eV for the cell shown
* total magnetization: 0.00 μB per atom

=====

[7]
First-principles (GGA-PBE) data for crystalline AcPmPrY3 at its relaxed geometry, as listed in the Alexandria database.

Cell lengths 10.995, 3.689, 11.032 Å; angles 90.00, 109.51, 90.00 degrees
Sites, in units of the cell vectors:
Ac  0.209  0.250  0.372
Ac  0.791  0.750  0.628
Pm  0.126  0.750  0.629
Pm  0.874  0.250  0.371
Pr  0.375  0.250  0.876
Pr  0.625  0.750  0.124
Y  0.044  0.250  0.880
Y  0.292  0.750  0.120
Y  0.460  0.750  0.628
Y  0.540  0.250  0.372
Y  0.708  0.250  0.880
Y  0.956  0.750  0.120

Results
* N(E_F): 8.4 states/eV/f.u.
* formation enthalpy at 0 K: 0.03 eV per atom
* space group: P2_1/m (11)
* crystal system: monoclinic
* uncorrected energy: -65.69 eV for the cell shown
* total magnetization: 0.00 μB per atom

=====

[8]
First-principles (GGA-PBE) data for crystalline Ac2Pm2PrY at its relaxed geometry, as listed in the Alexandria database.

Cell lengths 7.398, 5.955, 10.231 Å; angles 90.00, 90.00, 90.00 degrees
Sites, in units of the cell vectors:
Ac  0.000  0.000  0.000
Ac  0.250  0.500  0.173
Ac  0.500  0.000  0.000
Ac  0.750  0.500  0.827
Pm  0.250  0.000  0.347
Pm  0.250  0.500  0.824
Pm  0.750  0.000  0.653
Pm  0.750  0.500  0.176
Pr  0.250  0.000  0.664
Pr  0.750  0.000  0.336
Y  0.000  0.500  0.500
Y  0.500  0.500  0.500

Results
* N(E_F): 10.0 states/eV/f.u.
* formation enthalpy at 0 K: 0.07 eV per atom
* space group: Pmma (51)
* crystal system: orthorhombic
* uncorrected energy: -57.07 eV for the cell shown
* total magnetization: 0.00 μB per atom

=====

[9]
First-principles (GGA-PBE) data for crystalline Ac2PmPr3Y6 at its relaxed geometry, as listed in the Alexandria database.

Cell lengths 6.411, 6.411, 12.017 Å; angles 95.09, 95.09, 119.99 degrees
Sites, in units of the cell vectors:
Ac  0.167  0.833  0.000
Ac  0.833  0.167  0.000
Pm  0.500  0.500  0.000
Pr  0.000  0.000  0.500
Pr  0.333  0.667  0.500
Pr  0.667  0.333  0.500
Y  0.085  0.416  0.746
Y  0.253  0.253  0.254
Y  0.416  0.085  0.746
Y  0.584  0.915  0.254
Y  0.747  0.747  0.746
Y  0.915  0.584  0.254

Results
* N(E_F): 13.2 states/eV/f.u.
* formation enthalpy at 0 K: 0.02 eV per atom
* space group: C2/m (12)
* crystal system: monoclinic
* uncorrected energy: -65.82 eV for the cell shown
* total magnetization: 0.00 μB per atom

=====

[10]
First-principles (GGA-PBE) data for crystalline Ac5PmPr2Y at its relaxed geometry, as listed in the Alexandria database.

Cell lengths 11.748, 11.748, 11.122 Å; angles 90.00, 90.00, 151.02 degrees
Sites, in units of the cell vectors:
Ac  0.000  0.000  0.000
Ac  0.000  0.000  0.500
Ac  0.131  0.869  0.750
Ac  0.219  0.781  0.064
Ac  0.219  0.781  0.436
Ac  0.497  0.503  0.750
Ac  0.503  0.497  0.250
Ac  0.781  0.219  0.564
Ac  0.781  0.219  0.936
Ac  0.869  0.131  0.250
Pm  0.304  0.696  0.750
Pm  0.696  0.304  0.250
Pr  0.386  0.614  0.009
Pr  0.386  0.614  0.491
Pr  0.614  0.386  0.509
Pr  0.614  0.386  0.991
Y  0.099  0.901  0.250
Y  0.901  0.099  0.750

Results
* N(E_F): 12.6 states/eV/f.u.
* formation enthalpy at 0 K: 0.13 eV per atom
* space group: Cmcm (63)
* crystal system: orthorhombic
* uncorrected energy: -80.34 eV for the cell shown
* total magnetization: 0.00 μB per atom